ScPaFe2 | PBE-GGA | relaxed

Lattice parameters (Å, degrees): 4.5672 4.5672 4.5672 60.00 60.00 60.00
Site moments in Bohr magnetons follow the coordinates.
Element x y z (fractional)
Sc (0.5000, 0.5000, 0.5000)  -0.15
Pa (0.0000, 0.0000, 0.0000)  -0.34
Fe (0.2500, 0.2500, 0.2500)  0.76
Fe (0.7500, 0.7500, 0.7500)  0.76

final energy = -33.142 eV/cell
relative energy among the computed polymorphs = 0.028 eV per atom